# Ni2SbPtO6

A relaxed structure of Ni2SbPtO6 (GGA+U, Alexandria).

Output
Total DFT energy (no corrections): -4.991 eV/atom

Geometry as CIF:
```
data_Ni2SbPtO6
_space_group_name_H-M_alt 'P 4 m m'
_space_group_IT_number 99
_cell_length_a 5.838
_cell_length_b 5.838
_cell_length_c 4.015
_cell_angle_alpha 90.00
_cell_angle_beta 90.00
_cell_angle_gamma 90.00
loop_
_space_group_symop_operation_xyz
'x,y,z'
'-y,x,z'
'-x,-y,z'
'y,-x,z'
'-x,y,z'
'y,x,z'
'x,-y,z'
'-y,-x,z'
loop_
_atom_site_label
_atom_site_type_symbol
_atom_site_fract_x
_atom_site_fract_y
_atom_site_fract_z
Ni1 Ni 0.000 0.500 0.000
Sb1 Sb 0.000 0.000 0.819
Pt1 Pt 0.500 0.500 0.840
O1 O 0.000 0.000 0.336
O2 O 0.247 0.247 0.896
O3 O 0.500 0.500 0.344
```